1.
Computed, not measured: a relaxed CsVTeCl6 crystal at the GGA-PBE level of DFT.

Output
* formation energy from raw total energies: -104 kJ per mole of atoms
* DFT total energy: -33.917 eV/f.u.
* total magnetization: 0.222 μB per atom
* space-group type: P1

Cell lengths 6.870, 6.906, 7.250 Å; angles 86.59, 93.40, 70.64 degrees
Sites, in units of the cell vectors:
Cl  0.412  0.944  0.660
Cs  0.041  0.040  0.001
Cl  0.681  0.911  0.271
V  0.675  0.675  0.500
Cl  0.913  0.685  0.726
Te  0.321  0.320  0.501
Cl  0.944  0.413  0.339
Cl  0.363  0.647  0.326
Cl  0.649  0.365  0.676

2.
Computed, not measured: a relaxed CsTe2WCl crystal at the GGA-PBE level of DFT.

Output
* formation energy from raw total energies: 83 kJ per mole of atoms
* DFT total energy: -17.651 eV/f.u.
* total magnetization: 0.366 μB per atom
* space-group type: P4/mmm

Cell lengths 6.386, 4.420, 6.386 Å; angles 90.00, 90.00, 90.00 degrees
Sites, in units of the cell vectors:
Te  0.500  0.000  0.000
W  0.000  0.500  0.000
Cl  0.000  0.000  0.000
Cs  0.500  0.500  0.500
Te  0.000  0.000  0.500

3.
Computed, not measured: a relaxed Cs2YTeCl6 crystal at the GGA-PBE level of DFT.

Output
* formation energy from raw total energies: -157 kJ per mole of atoms
* DFT total energy: -38.683 eV/f.u.
* total magnetization: 0.100 μB per atom
* space-group type: I4/mmm

Cell lengths 8.689, 8.689, 8.102 Å; angles 57.58, 57.58, 90.00 degrees
Sites, in units of the cell vectors:
Te  0.000  0.000  0.000
Cl  0.287  0.287  0.000
Y  0.500  0.500  0.000
Cl  0.245  0.245  0.511
Cl  0.287  0.713  0.000
Cl  0.755  0.755  0.489
Cs  0.750  0.250  0.500
Cl  0.713  0.713  0.000
Cl  0.713  0.287  0.000
Cs  0.250  0.750  0.500

4.
Computed, not measured: a relaxed Cs2ZnTeCl6 crystal at the GGA-PBE level of DFT.

Output
* formation energy from raw total energies: -113 kJ per mole of atoms
* DFT total energy: -28.940 eV/f.u.
* total magnetization: 0.000 μB per atom
* space-group type: I4/mmm

Cell lengths 7.671, 7.671, 7.672 Å; angles 60.01, 60.01, 90.00 degrees
Sites, in units of the cell vectors:
Cl  0.278  0.278  0.000
Cs  0.750  0.250  0.500
Cl  0.722  0.722  0.000
Cl  0.237  0.237  0.527
Cl  0.278  0.722  0.000
Cl  0.763  0.763  0.473
Te  0.000  0.000  0.000
Cl  0.722  0.278  0.000
Zn  0.500  0.500  0.000
Cs  0.250  0.750  0.500